# 1
Entry from Alexandria via LeMat-Bulk: a PBEsol-optimized structure of LaH4C4NO8 (meta-GGA SCAN).

final energy	-730.72	eV/cell
symmetry	P2_1/c (14)

```
LaH4C4NO8
1.0
5.656 0.000 0.000
0.000 15.656 0.000
-0.067 0.000 8.776
La H C N O
4 16 16 4 32
direct
0.080 0.099 0.318
0.080 0.401 0.818
0.920 0.599 0.182
0.920 0.901 0.682
0.291 0.589 0.692
0.291 0.911 0.192
0.353 0.691 0.640
0.353 0.809 0.140
0.464 0.108 0.915
0.464 0.392 0.415
0.471 0.140 0.729
0.471 0.360 0.229
0.529 0.640 0.771
0.529 0.860 0.271
0.536 0.608 0.585
0.536 0.892 0.085
0.647 0.191 0.860
0.647 0.309 0.360
0.709 0.089 0.808
0.709 0.411 0.308
0.058 0.736 0.454
0.058 0.764 0.954
0.095 0.027 0.959
0.095 0.473 0.459
0.170 0.226 0.619
0.170 0.274 0.119
0.413 0.529 0.043
0.413 0.971 0.543
0.587 0.029 0.457
0.587 0.471 0.957
0.830 0.726 0.881
0.830 0.774 0.381
0.905 0.527 0.541
0.905 0.973 0.041
0.942 0.236 0.046
0.942 0.264 0.546
0.427 0.632 0.673
0.427 0.868 0.173
0.573 0.132 0.827
0.573 0.368 0.327
0.076 0.032 0.815
0.076 0.468 0.315
0.140 0.669 0.395
0.140 0.831 0.895
0.144 0.725 0.069
0.144 0.775 0.569
0.207 0.534 0.985
0.207 0.966 0.485
0.251 0.062 0.041
0.251 0.158 0.564
0.251 0.342 0.064
0.251 0.438 0.541
0.260 0.232 0.228
0.260 0.268 0.728
0.482 0.566 0.162
0.482 0.934 0.662
0.518 0.066 0.338
0.518 0.434 0.838
0.740 0.732 0.272
0.740 0.768 0.772
0.749 0.562 0.459
0.749 0.658 0.936
0.749 0.842 0.436
0.749 0.938 0.959
0.793 0.034 0.515
0.793 0.466 0.015
0.856 0.225 0.431
0.856 0.275 0.931
0.860 0.169 0.105
0.860 0.331 0.605
0.924 0.532 0.685
0.924 0.968 0.185
```

***

# 2
Entry from Alexandria via LeMat-Bulk: a PBEsol-optimized structure of LiH4CN3 (meta-GGA SCAN).

final energy	-232.50	eV/cell
symmetry	P2_1/c (14)

```
LiH4CN3
1.0
7.141 0.000 0.000
0.000 4.431 0.000
-1.891 0.000 8.767
Li H C N
4 16 4 12
direct
0.150 0.123 0.481
0.150 0.377 0.981
0.850 0.623 0.019
0.850 0.877 0.519
0.084 0.557 0.252
0.084 0.943 0.752
0.317 0.639 0.490
0.317 0.861 0.990
0.430 0.094 0.353
0.430 0.406 0.853
0.443 0.126 0.117
0.443 0.374 0.617
0.557 0.626 0.383
0.557 0.874 0.883
0.570 0.594 0.147
0.570 0.906 0.647
0.683 0.139 0.010
0.683 0.361 0.510
0.916 0.057 0.248
0.916 0.443 0.748
0.250 0.636 0.700
0.250 0.864 0.200
0.750 0.136 0.800
0.750 0.364 0.300
0.114 0.657 0.157
0.114 0.843 0.657
0.316 0.008 0.082
0.316 0.492 0.582
0.322 0.562 0.846
0.322 0.938 0.346
0.678 0.062 0.654
0.678 0.438 0.154
0.684 0.508 0.418
0.684 0.992 0.918
0.886 0.157 0.343
0.886 0.343 0.843
```

***

# 3
Entry from Alexandria via LeMat-Bulk: a PBEsol-optimized structure of MgH10CO8 (meta-GGA SCAN).

final energy	-505.67	eV/cell
symmetry	P2_1/c (14)

```
MgH10CO8
1.0
7.114 0.000 0.000
0.000 7.547 0.000
-2.706 0.000 12.154
Mg H C O
4 40 4 32
direct
0.000 0.000 0.000
0.000 0.500 0.500
0.500 0.000 0.500
0.500 0.500 0.000
0.019 0.180 0.188
0.019 0.320 0.688
0.099 0.657 0.058
0.099 0.843 0.558
0.102 0.002 0.804
0.102 0.498 0.304
0.118 0.197 0.422
0.118 0.303 0.922
0.253 0.058 0.643
0.253 0.442 0.143
0.296 0.705 0.397
0.296 0.795 0.897
0.362 0.573 0.624
0.362 0.927 0.124
0.365 0.631 0.147
0.365 0.869 0.647
0.388 0.110 0.065
0.388 0.390 0.565
0.448 0.716 0.831
0.448 0.784 0.331
0.552 0.216 0.669
0.552 0.284 0.169
0.612 0.610 0.435
0.612 0.890 0.935
0.635 0.131 0.353
0.635 0.369 0.853
0.638 0.073 0.876
0.638 0.427 0.376
0.704 0.205 0.103
0.704 0.295 0.603
0.747 0.558 0.857
0.747 0.942 0.357
0.882 0.697 0.078
0.882 0.803 0.578
0.898 0.502 0.696
0.898 0.998 0.196
0.901 0.157 0.442
0.901 0.343 0.942
0.981 0.680 0.312
0.981 0.820 0.812
0.336 0.248 0.302
0.336 0.252 0.802
0.664 0.748 0.198
0.664 0.752 0.698
0.010 0.245 0.454
0.010 0.255 0.954
0.081 0.596 0.354
0.081 0.904 0.854
0.191 0.176 0.737
0.191 0.324 0.237
0.292 0.015 0.070
0.292 0.485 0.570
0.293 0.536 0.094
0.293 0.964 0.594
0.310 0.148 0.381
0.310 0.352 0.881
0.424 0.733 0.908
0.424 0.767 0.408
0.490 0.723 0.712
0.490 0.777 0.212
0.510 0.223 0.788
0.510 0.277 0.288
0.576 0.233 0.592
0.576 0.267 0.092
0.690 0.648 0.119
0.690 0.852 0.619
0.707 0.036 0.406
0.707 0.464 0.906
0.708 0.515 0.430
0.708 0.985 0.930
0.809 0.676 0.763
0.809 0.824 0.263
0.919 0.096 0.146
0.919 0.404 0.646
0.990 0.745 0.046
0.990 0.755 0.546
```

***

# 4
Entry from Alexandria via LeMat-Bulk: a PBEsol-optimized structure of MgH6C2O6 (meta-GGA SCAN).

final energy	-411.45	eV/cell
symmetry	P2_1/c (14)

```
MgH6C2O6
1.0
8.569 0.000 0.000
0.000 7.016 0.000
-1.329 0.000 9.279
Mg H C O
4 24 8 24
direct
0.000 0.000 0.000
0.000 0.500 0.500
0.500 0.000 0.500
0.500 0.500 0.000
0.035 0.155 0.277
0.035 0.345 0.777
0.166 0.039 0.622
0.166 0.461 0.122
0.204 0.102 0.234
0.204 0.398 0.734
0.266 0.621 0.460
0.266 0.879 0.960
0.295 0.103 0.994
0.295 0.397 0.494
0.416 0.720 0.730
0.416 0.780 0.230
0.584 0.220 0.770
0.584 0.280 0.270
0.705 0.603 0.506
0.705 0.897 0.006
0.734 0.121 0.040
0.734 0.379 0.540
0.796 0.602 0.266
0.796 0.898 0.766
0.834 0.539 0.878
0.834 0.961 0.378
0.965 0.655 0.223
0.965 0.845 0.723
0.170 0.605 0.073
0.170 0.895 0.573
0.471 0.215 0.221
0.471 0.285 0.721
0.529 0.715 0.279
0.529 0.785 0.779
0.830 0.105 0.427
0.830 0.395 0.927
0.058 0.718 0.085
0.058 0.782 0.585
0.091 0.118 0.195
0.091 0.382 0.695
0.223 0.010 0.938
0.223 0.490 0.438
0.288 0.645 0.009
0.288 0.855 0.509
0.404 0.100 0.297
0.404 0.400 0.797
0.417 0.239 0.593
0.417 0.261 0.093
0.583 0.739 0.907
0.583 0.761 0.407
0.596 0.600 0.203
0.596 0.900 0.703
0.712 0.145 0.491
0.712 0.355 0.991
0.777 0.510 0.562
0.777 0.990 0.062
0.909 0.618 0.305
0.909 0.882 0.805
0.942 0.218 0.415
0.942 0.282 0.915
```

***

# 5
Entry from Alexandria via LeMat-Bulk: a PBEsol-optimized structure of MgH6C2O6 (meta-GGA SCAN).

final energy	-411.35	eV/cell
symmetry	Pbca (61)

```
MgH6C2O6
1.0
7.226 0.000 0.000
0.000 8.626 0.000
0.000 0.000 8.466
Mg H C O
4 24 8 24
direct
0.000 0.000 0.000
0.000 0.500 0.500
0.500 0.000 0.500
0.500 0.500 0.000
0.070 0.169 0.311
0.070 0.331 0.811
0.145 0.006 0.626
0.145 0.494 0.126
0.154 0.622 0.986
0.154 0.878 0.486
0.346 0.122 0.986
0.346 0.378 0.486
0.355 0.506 0.626
0.355 0.994 0.126
0.430 0.669 0.311
0.430 0.831 0.811
0.570 0.169 0.189
0.570 0.331 0.689
0.645 0.006 0.874
0.645 0.494 0.374
0.654 0.622 0.514
0.654 0.878 0.014
0.846 0.122 0.514
0.846 0.378 0.014
0.855 0.506 0.874
0.855 0.994 0.374
0.930 0.669 0.189
0.930 0.831 0.689
0.016 0.239 0.731
0.016 0.261 0.231
0.484 0.739 0.731
0.484 0.761 0.231
0.516 0.239 0.769
0.516 0.261 0.269
0.984 0.739 0.769
0.984 0.761 0.269
0.025 0.099 0.778
0.025 0.401 0.278
0.048 0.722 0.402
0.048 0.778 0.902
0.223 0.535 0.038
0.223 0.965 0.538
0.277 0.035 0.038
0.277 0.465 0.538
0.452 0.222 0.402
0.452 0.278 0.902
0.475 0.599 0.778
0.475 0.901 0.278
0.525 0.099 0.722
0.525 0.401 0.222
0.548 0.722 0.098
0.548 0.778 0.598
0.723 0.535 0.462
0.723 0.965 0.962
0.777 0.035 0.462
0.777 0.465 0.962
0.952 0.222 0.098
0.952 0.278 0.598
0.975 0.599 0.722
0.975 0.901 0.222
```

***

# 6
Entry from Alexandria via LeMat-Bulk: a PBEsol-optimized structure of Mg5H10C4O18 (meta-GGA SCAN).

final energy	-557.19	eV/cell
symmetry	P2_1/c (14)

```
Mg5H10C4O18
1.0
10.028 0.000 0.000
0.000 9.095 0.000
-3.432 0.000 7.570
Mg H C O
10 20 8 36
direct
0.000 0.000 0.000
0.000 0.500 0.500
0.345 0.066 0.991
0.345 0.067 0.362
0.345 0.433 0.862
0.345 0.434 0.491
0.655 0.566 0.509
0.655 0.567 0.138
0.655 0.933 0.638
0.655 0.934 0.009
0.136 0.600 0.866
0.136 0.900 0.366
0.145 0.632 0.304
0.145 0.868 0.804
0.235 0.625 0.623
0.235 0.875 0.123
0.237 0.585 0.080
0.237 0.915 0.580
0.306 0.694 0.358
0.306 0.806 0.858
0.694 0.194 0.142
0.694 0.306 0.642
0.763 0.085 0.420
0.763 0.415 0.920
0.765 0.125 0.877
0.765 0.375 0.377
0.855 0.132 0.196
0.855 0.368 0.696
0.864 0.100 0.634
0.864 0.400 0.134
0.078 0.240 0.779
0.078 0.260 0.279
0.474 0.170 0.738
0.474 0.330 0.238
0.526 0.670 0.762
0.526 0.830 0.262
0.922 0.740 0.721
0.922 0.760 0.221
0.003 0.159 0.173
0.003 0.341 0.673
0.010 0.131 0.807
0.010 0.369 0.307
0.221 0.246 0.855
0.221 0.254 0.355
0.225 0.518 0.617
0.225 0.982 0.117
0.238 0.578 0.961
0.238 0.922 0.461
0.244 0.610 0.298
0.244 0.890 0.798
0.429 0.196 0.217
0.429 0.304 0.717
0.494 0.101 0.882
0.494 0.399 0.382
0.500 0.105 0.615
0.500 0.395 0.115
0.500 0.605 0.885
0.500 0.895 0.385
0.506 0.601 0.618
0.506 0.899 0.118
0.571 0.696 0.283
0.571 0.804 0.783
0.756 0.110 0.202
0.756 0.390 0.702
0.762 0.078 0.539
0.762 0.422 0.039
0.775 0.018 0.883
0.775 0.482 0.383
0.779 0.746 0.645
0.779 0.754 0.145
0.990 0.631 0.693
0.990 0.869 0.193
0.997 0.659 0.327
0.997 0.841 0.827
```

***

| no. | spin magnetization (μB per cell) |
| --- | --- |
| 1 | 0.00 |
| 2 | 0.00 |
| 3 | 0.00 |
| 4 | 0.00 |
| 5 | 0.00 |
| 6 | 0.00 |